A plane-wave DFT calculation with PBE-GGA was carried out for a relaxed structure of LiZrAlIr.

Cell lengths 4.4782, 4.4782, 4.4782 Å; angles 60.00, 60.00, 60.00 degrees
Atoms (fractional coordinates):
Ir (0.5000, 0.5000, 0.5000)
Al (0.7500, 0.7500, 0.7500)
Zr (0.2500, 0.2500, 0.2500)
Li (0.0000, 0.0000, 0.0000)

Computed properties:
Total energy ... -6.49 eV/atom
Space-group type ... F-43m, No. 216
Density ... 8.3 g/cm³
ΔE_f ... -0.72 eV/atom